The following is a DFT calculation (GGA-PBE) of BeAlH after structural relaxation.

Lattice parameters (Å, degrees): 3.8853 4.0168 4.5302 92.15 90.01 118.89
Last column: nearest neighbours and their distance in Å.
Positions (direct):
1 Be 0.0000 0.0000 0.0000  1 H 1.47
2 Be 0.3453 0.6924 0.1277  5 Al 2.30-2.38, 3 Be 2.31-2.48
3 Al 0.4263 0.8474 0.6396  1 H 1.77
4 Al 0.6815 0.3645 0.2227  1 H 1.73
5 H 0.6718 0.3481 0.6049  2 Al 1.73-1.77
6 H 0.9907 0.9839 0.6762  1 Be 1.47

Properties
Energy relative to the lowest polymorph listed for this composition ... 0.0 meV/atom
Electronic total energy ... -3.4663 eV per atom
Theoretical density ... 1.987 g/cm³
N(E_F) ... 0.0180 states/eV per atom

---

The following is a DFT calculation (GGA-PBE) of AcMgZn2In2 after structural relaxation.

Lattice parameters (Å, degrees): 4.7288 4.7288 7.5346 90.00 90.00 120.00
Last column: nearest neighbours and their distance in Å.
Positions (direct):
1 Ac 0.0000 0.0000 0.0000  6 Zn 3.46, 6 In 3.50, 2 Mg 3.77
2 Mg 0.0000 0.0000 0.5000  6 In 3.15, 6 Zn 3.18
3 Zn 0.3333 0.6667 0.7175  3 In 2.73
4 Zn 0.6667 0.3333 0.2825  3 In 2.73
5 In 0.3333 0.6667 0.2913  3 Zn 2.73
6 In 0.6667 0.3333 0.7087  3 Zn 2.73

Properties
Electronic total energy ... -2.5756 eV per atom
Theoretical density ... 6.962 g/cm³
N(E_F) ... 0.3972 states/eV per atom
Calculated formation energy ... -28 kJ/mol of atoms